Run a
Density functional theory data (PBE) for a relaxed LuNiAsPd crystal.

abc: 4.5803 4.5803 4.5803
angles: 60.00 60.00 60.00
Closest atoms and distances in Å follow each position.
Atoms (fractional coordinates):
Lu: 0.0000 0.0000 0.0000  4 As 2.80, 4 Pd 2.80
Ni: 0.5000 0.5000 0.5000  4 Pd 2.80, 4 As 2.80
As: 0.2500 0.2500 0.2500  4 Ni 2.80, 4 Lu 2.80
Pd: 0.7500 0.7500 0.7500  4 Lu 2.80, 4 Ni 2.80

Values from the calculation:
Total magnetization ... 0.0 μB per formula unit

---

Run b
Density functional theory data (PBE) for a relaxed LuNiAsPd crystal.

abc: 4.5344 4.5344 4.5344
angles: 60.00 60.00 60.00
Closest atoms and distances in Å follow each position.
Atoms (fractional coordinates):
Lu: 0.0000 0.0000 0.0000  4 Pd 2.78, 4 Ni 2.78
Ni: 0.7500 0.7500 0.7500  4 As 2.78, 4 Lu 2.78
As: 0.5000 0.5000 0.5000  4 Ni 2.78, 4 Pd 2.78
Pd: 0.2500 0.2500 0.2500  4 As 2.78, 4 Lu 2.78

Values from the calculation:
Total magnetization ... 0.0 μB per formula unit

---

Relative energy table, unit kJ/mol of atoms: run a 6.5; run b 0.0

---

Run a
Density functional theory data (PBE) for a relaxed LuTcNiAs crystal.

abc: 4.5755 4.5755 4.5755
angles: 60.00 60.00 60.00
Closest atoms and distances in Å follow each position.
Atoms (fractional coordinates):
Lu: 0.0000 0.0000 0.0000  4 Tc 2.80, 4 As 2.80
Tc: 0.7500 0.7500 0.7500  4 Lu 2.80, 4 Ni 2.80
Ni: 0.5000 0.5000 0.5000  4 Tc 2.80, 4 As 2.80
As: 0.2500 0.2500 0.2500  4 Ni 2.80, 4 Lu 2.80

Values from the calculation:
Total magnetization ... 2.4 μB per formula unit

---

Run b
Density functional theory data (PBE) for a relaxed LuTcNiAs crystal.

abc: 4.4606 4.4606 4.4606
angles: 60.00 60.00 60.00
Closest atoms and distances in Å follow each position.
Atoms (fractional coordinates):
Lu: 0.0000 0.0000 0.0000  4 Ni 2.73, 4 Tc 2.73
Tc: 0.2500 0.2500 0.2500  4 As 2.73, 4 Lu 2.73
Ni: 0.7500 0.7500 0.7500  4 As 2.73, 4 Lu 2.73
As: 0.5000 0.5000 0.5000  4 Tc 2.73, 4 Ni 2.73

Values from the calculation:
Total magnetization ... 0.2 μB per formula unit

---

Relative energy table, unit kJ/mol of atoms: run a 35.4; run b 0.0

---

Run a
Density functional theory data (PBE) for a relaxed LuAsOsO crystal.

abc: 4.0312 4.0312 7.7473
angles: 90.00 90.00 90.00
Closest atoms and distances in Å follow each position.
Atoms (fractional coordinates):
Lu: 0.2500 0.2500 0.1247  4 O 2.24
Lu: 0.7500 0.7500 0.8753  4 O 2.24
As: 0.2500 0.2500 0.6798  4 Os 2.45
As: 0.7500 0.7500 0.3202  4 Os 2.45
Os: 0.2500 0.7500 0.5000  4 As 2.45
Os: 0.7500 0.2500 0.5000  4 As 2.45
O: 0.2500 0.7500 0.0000  4 Lu 2.24
O: 0.7500 0.2500 0.0000  4 Lu 2.24

Values from the calculation:
Total magnetization ... 0.0 μB per formula unit

---

Run b
Density functional theory data (PBE) for a relaxed LuAsOsO crystal.

abc: 4.2951 4.2951 6.5895
angles: 90.00 90.00 90.00
Closest atoms and distances in Å follow each position.
Atoms (fractional coordinates):
Lu: 0.2500 0.7500 0.0000  4 As 2.84, 4 Lu 3.04, 4 Os 3.12
Lu: 0.7500 0.2500 0.0000  4 As 2.84, 4 Lu 3.04, 4 Os 3.12
As: 0.2500 0.2500 0.2814  1 Os 2.48, 4 O 2.59
As: 0.7500 0.7500 0.7186  1 Os 2.48, 4 O 2.59
Os: 0.2500 0.2500 0.6572  4 O 2.38, 1 As 2.48
Os: 0.7500 0.7500 0.3428  4 O 2.38, 1 As 2.48
O: 0.2500 0.7500 0.5000  4 Os 2.38, 4 As 2.59
O: 0.7500 0.2500 0.5000  4 Os 2.38, 4 As 2.59

Values from the calculation:
Total magnetization ... 0.0 μB per formula unit

---

Relative energy table, unit kJ/mol of atoms: run a 0.0; run b 168.5

---

Run a
Density functional theory data (PBE) for a relaxed LuAsPdO crystal.

abc: 5.5874 5.5874 4.6106
angles: 90.00 90.00 90.00
Closest atoms and distances in Å follow each position.
Atoms (fractional coordinates):
Lu: 0.2500 0.7500 0.0000  2 O 2.31
Lu: 0.7500 0.2500 0.0000  2 O 2.31
As: 0.2500 0.2500 0.0036  2 Pd 2.30-2.31
As: 0.7500 0.7500 0.9964  2 Pd 2.30-2.31
Pd: 0.2500 0.2500 0.5034  2 As 2.30-2.31
Pd: 0.7500 0.7500 0.4966  2 As 2.30-2.31
O: 0.2500 0.7500 0.5000  2 Lu 2.31
O: 0.7500 0.2500 0.5000  2 Lu 2.31

Values from the calculation:
Total magnetization ... 0.0 μB per formula unit

---

Run b
Density functional theory data (PBE) for a relaxed LuAsPdO crystal.

abc: 4.0244 4.0244 7.9586
angles: 90.00 90.00 90.00
Closest atoms and distances in Å follow each position.
Atoms (fractional coordinates):
Lu: 0.2500 0.2500 0.1226  4 O 2.24
Lu: 0.7500 0.7500 0.8774  4 O 2.24
As: 0.2500 0.2500 0.6853  4 Pd 2.49
As: 0.7500 0.7500 0.3147  4 Pd 2.49
Pd: 0.2500 0.7500 0.5000  4 As 2.49
Pd: 0.7500 0.2500 0.5000  4 As 2.49
O: 0.2500 0.7500 0.0000  4 Lu 2.24
O: 0.7500 0.2500 0.0000  4 Lu 2.24

Values from the calculation:
Total magnetization ... 0.0 μB per formula unit

---

Relative energy table, unit kJ/mol of atoms: run a 82.2; run b 0.0

---

Run a
Density functional theory data (PBE) for a relaxed PrLuAsO crystal.

abc: 4.3870 4.3870 9.0191
angles: 90.00 90.00 90.00
Closest atoms and distances in Å follow each position.
Atoms (fractional coordinates):
Pr: 0.2500 0.2500 0.1143  4 O 2.42
Pr: 0.7500 0.7500 0.8857  4 O 2.42
Lu: 0.2500 0.7500 0.5000  4 As 2.78, 4 Lu 3.10
Lu: 0.7500 0.2500 0.5000  4 As 2.78, 4 Lu 3.10
As: 0.2500 0.2500 0.6900  4 Lu 2.78
As: 0.7500 0.7500 0.3100  4 Lu 2.78
O: 0.2500 0.7500 0.0000  4 Pr 2.42
O: 0.7500 0.2500 0.0000  4 Pr 2.42

Values from the calculation:
Total magnetization ... 0.0 μB per formula unit

---

Run b
Density functional theory data (PBE) for a relaxed PrLuAsO crystal.

abc: 4.2794 4.2794 9.1193
angles: 90.00 90.00 90.00
Closest atoms and distances in Å follow each position.
Atoms (fractional coordinates):
Pr: 0.2500 0.7500 0.0000  4 As 2.98, 4 Pr 3.03
Pr: 0.7500 0.2500 0.0000  4 As 2.98, 4 Pr 3.03
Lu: 0.2500 0.2500 0.4129  4 O 2.28
Lu: 0.7500 0.7500 0.5871  4 O 2.28
As: 0.2500 0.2500 0.7730  4 Pr 2.98, 4 O 3.28, 1 Lu 3.28
As: 0.7500 0.7500 0.2270  4 Pr 2.98, 4 O 3.28, 1 Lu 3.28
O: 0.2500 0.7500 0.5000  4 Lu 2.28
O: 0.7500 0.2500 0.5000  4 Lu 2.28

Values from the calculation:
Total magnetization ... 0.1 μB per formula unit

---

Relative energy table, unit kJ/mol of atoms: run a 0.0; run b 18.3

---

Run a
Density functional theory data (PBE) for a relaxed LuAsPtO crystal.

abc: 5.7788 5.7788 4.4772
angles: 90.01 90.01 89.99
Closest atoms and distances in Å follow each position.
Atoms (fractional coordinates):
Lu: 0.2499 0.7501 0.0000  2 O 2.24
Lu: 0.7501 0.2499 0.0000  2 O 2.24
As: 0.2499 0.2499 0.4970  2 Pt 2.24
As: 0.7581 0.7581 0.5027  2 Pt 2.24
Pt: 0.2505 0.2505 0.9975  2 As 2.24
Pt: 0.7481 0.7481 0.0027  2 As 2.24
O: 0.2480 0.7513 0.5000  2 Lu 2.24
O: 0.7513 0.2480 0.5000  2 Lu 2.24

Values from the calculation:
Total magnetization ... 0.0 μB per formula unit

---

Run b
Density functional theory data (PBE) for a relaxed LuAsPtO crystal.

abc: 3.4733 7.7698 5.4681
angles: 90.00 90.00 90.00
Closest atoms and distances in Å follow each position.
Atoms (fractional coordinates):
Lu: 0.0000 0.2007 0.0000  2 O 2.05
Lu: 0.0000 0.7993 0.5000  2 O 2.05
As: 0.0000 0.4245 0.4938  2 Pt 2.39
As: 0.0000 0.5755 0.9938  2 Pt 2.39
Pt: 0.5000 0.2142 0.5287  1 O 2.20, 2 As 2.39
Pt: 0.5000 0.7858 0.0287  1 O 2.20, 2 As 2.39
O: 0.5000 0.0675 0.0668  2 Lu 2.05, 1 Pt 2.20
O: 0.5000 0.9325 0.5668  2 Lu 2.05, 1 Pt 2.20

Values from the calculation:
Total magnetization ... 0.0 μB per formula unit

---

Relative energy table, unit kJ/mol of atoms: run a 22.2; run b 0.0